The following is a DFT calculation (PBE-GGA) of LaInIr after structural relaxation.

abc: 4.9534 4.9534 4.9534
angles: 60.00 60.00 60.00
With the nearest neighbours (Å) after each atom.
Fractional positions:
Ir  0.5000  0.5000  0.5000  4 La 3.03
In  0.0000  0.0000  0.0000  4 La 3.03
La  0.7500  0.7500  0.7500  4 In 3.03, 4 Ir 3.03

Total DFT energy (no corrections) = -5.227 eV per atom
Magnetization = 0.000 μB per cell
Energy of formation from the pure elements = 0.84 eV per formula unit
Density of states at the Fermi level = 2.69 states/eV per cell
Space-group type = No. 216